The following is a DFT calculation (PBEsol) of an optimized crystal structure of HgAu2.

Cell and atoms, written as extended XYZ:
```
3
Lattice="4.833 0.000 0.000 0.000 4.833 0.000 0.000 0.000 2.850" Properties=species:S:1:pos:R:3 pbc="T T T"
Hg 0.000 0.000 0.000
Au 0.000 2.417 1.425
Au 2.417 0.000 1.425
```

The total DFT energy (no corrections) is -2.52 eV per atom. The calculation puts the formation energy at 286 meV/atom.

The following is a DFT calculation (PBEsol) of an optimized crystal structure of Hg2Au.

Cell and atoms, written as extended XYZ:
```
6
Lattice="-3.445 3.445 2.694 3.445 -3.445 2.694 3.445 3.445 -2.694" Properties=species:S:1:pos:R:3 pbc="T T T"
Hg 4.494 1.049 0.000
Hg 1.049 2.395 0.000
Hg 2.395 1.049 2.694
Hg -1.049 2.395 2.694
Au 0.000 0.000 1.347
Au 0.000 0.000 4.041
```

The total DFT energy (no corrections) is -1.68 eV per atom. The calculation puts the formation energy at 8 meV/atom.

The following is a DFT calculation (PBEsol) of an optimized crystal structure of HgAu7.

Cell and atoms, written as extended XYZ:
```
8
Lattice="0.000 4.110 4.110 4.110 0.000 4.110 4.110 4.110 0.000" Properties=species:S:1:pos:R:3 pbc="T T T"
Hg 0.000 0.000 0.000
Au 2.055 2.055 0.000
Au 2.055 0.000 2.055
Au 4.110 2.055 2.055
Au 0.000 2.055 2.055
Au 2.055 4.110 2.055
Au 2.055 2.055 4.110
Au 4.110 4.110 4.110
```

The total DFT energy (no corrections) is -3.49 eV per atom. The calculation puts the formation energy at 15 meV/atom.

The following is a DFT calculation (PBEsol) of an optimized crystal structure of Hg2Au.

Cell and atoms, written as extended XYZ:
```
3
Lattice="0.000 3.264 3.264 3.264 0.000 3.264 3.264 3.264 0.000" Properties=species:S:1:pos:R:3 pbc="T T T"
Hg 1.632 1.632 1.632
Hg 4.895 4.895 4.895
Au 0.000 0.000 0.000
```

The total DFT energy (no corrections) is -1.64 eV per atom. The calculation puts the formation energy at 44 meV/atom.

Repeat the second record exactly.
The following is a DFT calculation (PBEsol) of an optimized crystal structure of Hg2Au.

Cell and atoms, written as extended XYZ:
```
6
Lattice="-3.445 3.445 2.694 3.445 -3.445 2.694 3.445 3.445 -2.694" Properties=species:S:1:pos:R:3 pbc="T T T"
Hg 4.494 1.049 0.000
Hg 1.049 2.395 0.000
Hg 2.395 1.049 2.694
Hg -1.049 2.395 2.694
Au 0.000 0.000 1.347
Au 0.000 0.000 4.041
```

The total DFT energy (no corrections) is -1.68 eV per atom. The calculation puts the formation energy at 8 meV/atom.